1.
5
Lattice="6.164 0.000 0.000 0.000 6.164 0.000 0.000 0.000 6.164" Properties=species:S:1:pos:R:3 comment="LaGaBi3 | Alexandria via LeMat-Bulk | PBE-GGA | relaxed" spacegroup="Pm-3m, No. 221" vol_a3_per_atom=46.840 e_form_kj_per_mol_atoms=44.3 pbc="T T T"
Bi 0.000 0.000 3.082
Bi 3.082 0.000 0.000
Bi 0.000 3.082 0.000
La 0.000 0.000 0.000
Ga 3.082 3.082 3.082


2.
14
Lattice="-0.051 6.639 1.948 -5.333 -1.275 4.207 5.586 -5.179 5.511" Properties=species:S:1:pos:R:3 comment="La4GaBiN | Alexandria via LeMat-Bulk | PBE-GGA | relaxed" spacegroup="Cmcm, No. 63" vol_a3_per_atom=29.867 formation_energy_uncorrected_ev_per_fu=-6.0 pbc="T T T"
La 2.768 0.730 3.730
La 2.793 -2.590 2.756
La -3.328 -1.181 3.940
La 3.529 1.366 7.727
La 0.127 -3.227 4.859
La 0.602 -2.496 8.523
La -0.400 2.680 3.144
La 0.101 0.092 5.833
Bi 3.028 -1.777 6.138
Bi -2.826 1.962 5.529
N -0.886 -1.998 6.787
N 1.088 2.182 4.880
Ga -0.033 -0.754 2.569
Ga 0.235 0.938 9.098


3.
5
Lattice="5.467 0.000 0.000 0.000 5.467 0.000 0.000 0.000 4.607" Properties=species:S:1:pos:R:3 comment="La2GaNiBi | Alexandria via LeMat-Bulk | PBE-GGA | relaxed" spacegroup="P4/mmm, No. 123" vol_a3_per_atom=27.543 e_form_kj_per_mol_atoms=-60.8 pbc="T T T"
Ga 0.000 0.000 2.304
Bi 2.734 2.734 2.304
La 0.000 2.734 0.000
La 2.734 0.000 0.000
Ni 0.000 0.000 0.000


4.
14
Lattice="-1.297 -6.363 -1.950 4.517 -2.285 4.453 -5.786 2.587 7.197" Properties=species:S:1:pos:R:3 comment="La4GaBiO | Alexandria via LeMat-Bulk | PBE-GGA | relaxed" spacegroup="Cmcm, No. 63" vol_a3_per_atom=29.293 formation_energy_uncorrected_ev_per_fu=-8.8 pbc="T T T"
La -1.283 -3.031 4.850
La -5.208 -4.279 5.639
La -0.635 0.151 5.825
La -0.535 -3.847 1.120
La -2.032 -2.215 8.580
La -2.893 1.293 3.599
La 2.642 -1.783 4.061
La -3.542 -1.888 2.624
O -0.354 -2.060 6.958
O -2.212 -4.002 2.742
Ga -0.390 -0.712 2.582
Ga -2.176 -5.350 7.118
Bi 1.320 -5.027 3.737
Bi -3.886 -1.035 5.963


5.
5
Lattice="4.315 0.000 0.000 0.000 7.400 0.000 0.000 0.000 4.315" Properties=species:S:1:pos:R:3 comment="LaGaBiO2 | Alexandria via LeMat-Bulk | PBE-GGA | relaxed" spacegroup="P4/mmm, No. 123" vol_a3_per_atom=27.556 formation_energy_uncorrected_ev_per_fu=-5.1 pbc="T T T"
Bi 0.000 3.700 0.000
Ga 2.158 3.700 2.158
La 0.000 0.000 0.000
O 0.000 0.000 2.158
O 2.158 0.000 0.000


6.
10
Lattice="4.390 0.000 0.000 0.000 4.390 0.000 0.000 0.000 11.010" Properties=species:S:1:pos:R:3 comment="La2Ga3BiPd4 | Alexandria via LeMat-Bulk | PBE-GGA | relaxed" spacegroup="P-4m2, No. 115" vol_a3_per_atom=21.221 e_form_kj_per_mol_atoms=-74.4 pbc="T T T"
Ga 0.000 2.195 1.301
Ga 0.000 0.000 5.505
Ga 2.195 0.000 9.708
Pd 0.000 0.000 0.000
Pd 2.195 2.195 0.000
Pd 0.000 2.195 3.787
Pd 2.195 0.000 7.223
Bi 2.195 2.195 5.505
La 0.000 2.195 8.395
La 2.195 0.000 2.615


7.
15
Lattice="6.653 0.000 0.000 -3.327 5.762 0.000 0.000 0.000 9.296" Properties=species:S:1:pos:R:3 comment="La3Ga2BiPd9 | Alexandria via LeMat-Bulk | PBE-GGA | relaxed" spacegroup="P-3m1, No. 164" vol_a3_per_atom=23.759 e_form_kj_per_mol_atoms=-51.0 pbc="T T T"
Pd -1.663 2.881 0.000
Pd 0.000 1.622 2.448
Pd 1.663 2.881 0.000
Pd 3.327 0.000 0.000
Pd 5.249 0.811 6.848
Pd 1.404 0.811 6.848
Pd 3.327 4.140 6.848
Pd -1.922 4.951 2.448
Pd 1.922 4.951 2.448
La 0.000 0.000 0.000
La 0.000 3.841 6.876
La 3.327 1.921 2.420
Ga 3.327 1.921 7.698
Ga 0.000 3.841 1.599
Bi 0.000 0.000 4.648


8.
5
Lattice="-2.445 -4.949 -0.245 4.856 -2.339 -1.215 0.859 -0.658 4.699" Properties=species:S:1:pos:R:3 comment="La2GaBiRh | Alexandria via LeMat-Bulk | PBE-GGA | relaxed" spacegroup="P4/mmm, No. 123" vol_a3_per_atom=29.446 e_form_kj_per_mol_atoms=-75.2 pbc="T T T"
Bi 1.635 -3.973 1.619
Rh 0.000 0.000 0.000
Ga 0.430 -0.329 2.350
La 2.428 -1.169 -0.608
La -1.223 -2.475 -0.123


9.
5
Lattice="-3.865 -3.849 -0.042 0.563 -0.625 5.389 -3.406 3.412 0.751" Properties=species:S:1:pos:R:3 comment="La2GaBiRu | Alexandria via LeMat-Bulk | PBE-GGA | relaxed" spacegroup="P4/mmm, No. 123" vol_a3_per_atom=29.034 e_form_kj_per_mol_atoms=-60.7 pbc="T T T"
La 0.282 -0.312 2.695
La -1.932 -1.925 -0.021
Ru 0.000 0.000 0.000
Bi -3.354 -0.531 3.049
Ga -1.703 1.706 0.376


10.
5
Lattice="5.491 0.000 0.000 0.000 4.732 0.000 0.000 0.000 5.491" Properties=species:S:1:pos:R:3 comment="LaGaTcBi2 | Alexandria via LeMat-Bulk | PBE-GGA | relaxed" spacegroup="P4/mmm, No. 123" vol_a3_per_atom=28.539 e_form_kj_per_mol_atoms=33.3 pbc="T T T"
Ga 0.000 0.000 0.000
Bi 0.000 0.000 2.746
Bi 2.746 0.000 0.000
La 2.746 2.366 2.746
Tc 0.000 2.366 0.000


11.
5
Lattice="5.546 0.000 0.000 0.000 5.677 0.000 0.000 0.000 5.546" Properties=species:S:1:pos:R:3 comment="LaGaTcBi2 | Alexandria via LeMat-Bulk | PBE-GGA | relaxed" spacegroup="P4/mmm, No. 123" vol_a3_per_atom=34.932 e_form_kj_per_mol_atoms=86.9 pbc="T T T"
La 0.000 2.839 0.000
Ga 0.000 0.000 0.000
Tc 2.773 2.839 2.773
Bi 2.773 0.000 0.000
Bi 0.000 0.000 2.773


12.
5
Lattice="-2.532 3.207 2.666 -3.285 1.101 -4.446 -3.051 -3.551 1.375" Properties=species:S:1:pos:R:3 comment="LaTi2GaBi | Alexandria via LeMat-Bulk | PBE-GGA | relaxed" spacegroup="P4/mmm, No. 123" vol_a3_per_atom=26.837 e_form_kj_per_mol_atoms=16.7 pbc="T T T"
Bi -4.434 0.379 -0.202
La -1.643 0.551 -2.223
Ti -1.266 1.604 1.333
Ti -1.525 -1.776 0.687
Ga 0.000 0.000 0.000